Computed, not measured: a relaxed Cs2SrNi3F12 crystal at the PBE with a Hubbard U level of DFT.

The value obtained for the density of states at the Fermi level is 23.7 states/eV/cell. The spin magnetization is 24.0 μB/cell. The volume is 16.51 Å³ per atom. The total energy is -4.28 eV/atom.

It has space group R-3m (No. 166, hexagonal axes), with a = 7.5163 Å, b = 7.5163 Å, c = 18.2209 Å, α = 90.00°, β = 90.00° and γ = 120.00°. Symmetry generates all atoms from Cs at (0.0000, 0.0000, 0.1121), Sr at (0.0000, 0.0000, 0.5000), Ni at (0.0000, 0.5000, 0.0000), F at (0.0025, 0.5012, 0.8951) and F at (0.0784, 0.5392, 0.3293).